# 1
Density functional theory data (PBE) for a relaxed RbLi3Mg crystal.

Computed properties:
offset from the most stable computed form = 0.0000 eV/atom
ΔH_f (0 K) = 0.260 eV/atom
space-group type = No. 221

a = 5.677 Å, b = 5.677 Å, c = 5.677 Å
α = 90.00°, β = 90.00°, γ = 90.00°
Sites, in units of the cell vectors:
1 Rb 0.000 0.000 0.000
2 Li 0.000 0.500 0.500
3 Li 0.500 0.000 0.500
4 Li 0.500 0.500 0.000
5 Mg 0.500 0.500 0.500

***

# 2
Density functional theory data (PBE) for a relaxed SeBr3 crystal.

Computed properties:
uncorrected formation energy = 0.30 eV per atom
space-group type = No. 194

a = 8.719 Å, b = 8.719 Å, c = 7.140 Å
α = 90.00°, β = 90.00°, γ = 120.00°
Sites, in units of the cell vectors:
1 Se 0.000 0.000 0.000
2 Se 0.000 0.000 0.500
3 Se 0.333 0.667 0.250
4 Se 0.667 0.333 0.750
5 Br 0.000 0.500 0.000
6 Br 0.000 0.500 0.500
7 Br 0.132 0.263 0.750
8 Br 0.132 0.868 0.750
9 Br 0.263 0.132 0.250
10 Br 0.500 0.000 0.000
11 Br 0.500 0.000 0.500
12 Br 0.500 0.500 0.000
13 Br 0.500 0.500 0.500
14 Br 0.737 0.868 0.750
15 Br 0.868 0.132 0.250
16 Br 0.868 0.737 0.250

***

# 3
Density functional theory data (PBE) for a relaxed CuRe2Pb crystal.

Computed properties:
offset from the most stable computed form = 0.3414 eV/atom
ΔH_f (0 K) = 0.823 eV/atom
space-group type = No. 44

a = 4.774 Å, b = 4.774 Å, c = 4.774 Å
α = 129.78°, β = 125.02°, γ = 77.66°
Sites, in units of the cell vectors:
1 Cu 0.000 0.000 0.000
2 Re 0.522 0.522 0.000
3 Re 0.743 0.243 0.500
4 Pb 0.258 0.758 0.500

***

# 4
Density functional theory data (PBE) for a relaxed MgSc5Ir crystal.

Computed properties:
ΔH_f (0 K) = -0.065 eV/atom
space-group type = No. 15

a = 6.400 Å, b = 6.400 Å, c = 9.306 Å
α = 107.06°, β = 107.06°, γ = 87.20°
Sites, in units of the cell vectors:
1 Mg 0.077 0.923 0.750
2 Mg 0.923 0.077 0.250
3 Sc 0.157 0.650 0.341
4 Sc 0.204 0.333 0.991
5 Sc 0.333 0.204 0.491
6 Sc 0.350 0.843 0.159
7 Sc 0.390 0.610 0.750
8 Sc 0.610 0.390 0.250
9 Sc 0.650 0.157 0.841
10 Sc 0.667 0.796 0.509
11 Sc 0.796 0.667 0.009
12 Sc 0.843 0.350 0.659
13 Ir 0.000 0.500 0.500
14 Ir 0.500 0.000 0.000

***

# 5
Density functional theory data (PBE) for a relaxed Mn2CoHW crystal.

Computed properties:
offset from the most stable computed form = 0.0000 eV/atom
space-group type = No. 123

a = 3.717 Å, b = 3.717 Å, c = 3.609 Å
α = 90.00°, β = 90.00°, γ = 90.00°
Sites, in units of the cell vectors:
1 Mn 0.000 0.500 0.000
2 Mn 0.500 0.000 0.000
3 Co 0.000 0.000 0.500
4 H 0.000 0.000 0.000
5 W 0.500 0.500 0.500

***

# 6
Density functional theory data (PBE) for a relaxed Nd3AsBr3 crystal.

Computed properties:
uncorrected formation energy = -1.59 eV per atom
space-group type = No. 214

a = 10.405 Å, b = 10.405 Å, c = 10.405 Å
α = 109.47°, β = 109.47°, γ = 109.47°
Sites, in units of the cell vectors:
1 Nd 0.012 0.023 0.262
2 Nd 0.012 0.488 0.750
3 Nd 0.023 0.262 0.012
4 Nd 0.238 0.262 0.750
5 Nd 0.238 0.477 0.488
6 Nd 0.262 0.012 0.023
7 Nd 0.262 0.750 0.238
8 Nd 0.477 0.488 0.238
9 Nd 0.488 0.238 0.477
10 Nd 0.488 0.750 0.012
11 Nd 0.750 0.012 0.488
12 Nd 0.750 0.238 0.262
13 As 0.000 0.250 0.500
14 As 0.250 0.250 0.250
15 As 0.250 0.500 0.000
16 As 0.500 0.000 0.250
17 Br 0.250 0.755 0.745
18 Br 0.250 0.995 0.505
19 Br 0.505 0.250 0.995
20 Br 0.505 0.755 0.510
21 Br 0.510 0.505 0.755
22 Br 0.745 0.250 0.755
23 Br 0.745 0.995 0.990
24 Br 0.755 0.510 0.505
25 Br 0.755 0.745 0.250
26 Br 0.990 0.745 0.995
27 Br 0.995 0.505 0.250
28 Br 0.995 0.990 0.745

***

Final energy per entry: -1.40, -1.82, -7.35, -6.08, -8.36, -5.02 eV per atom
N(E_F) per entry: 3.33, 8.17, 2.80, 18.12, 3.55, 8.77 states/eV per cell